No. 1
An optimized crystal structure of DyZnPt. Source: Alexandria via LeMat-Bulk, functional GGA-PBE.

space-group type: I4mm (107)

POSCAR file:
```
DyZnPt
1.0
3.5941 0.0000 0.0000
0.0000 3.5941 0.0000
0.0000 0.0000 9.0344
Dy Zn Pt
2 2 2
Cartesian
0.0000 0.0000 0.0000 Dy
1.7971 1.7971 4.5172 Dy
0.0000 0.0000 2.8491 Zn
1.7971 1.7971 7.3663 Zn
0.0000 0.0000 6.0108 Pt
1.7971 1.7971 1.4936 Pt
```


No. 2
An optimized crystal structure of DyZn4Pt4. Source: Alexandria via LeMat-Bulk, functional GGA-PBE.

space-group type: P4_2/nmc (137)

POSCAR file:
```
DyZn4Pt4
1.0
5.7917 0.0000 0.0000
0.0000 5.7917 0.0000
0.0000 0.0000 9.0267
Dy Zn Pt
2 8 8
Cartesian
1.4479 4.3438 2.2567 Dy
4.3438 1.4479 6.7700 Dy
0.1708 1.4479 1.5892 Zn
1.4479 0.1708 6.1025 Zn
1.4479 2.7251 6.1025 Zn
2.7251 1.4479 1.5892 Zn
3.0667 4.3438 7.4376 Zn
4.3438 3.0667 2.9242 Zn
4.3438 5.6209 2.9242 Zn
5.6209 4.3438 7.4376 Zn
0.0648 1.4479 4.2509 Pt
1.4479 0.0648 8.7643 Pt
1.4479 2.8311 8.7643 Pt
2.8311 1.4479 4.2509 Pt
2.9606 4.3438 4.7758 Pt
4.3438 2.9606 0.2624 Pt
4.3438 5.7270 0.2624 Pt
5.7270 4.3438 4.7758 Pt
```


The energy of formation from the pure elements results, record by record, are as follows: -76, -56 kJ/mol of atoms.
The spin magnetization results, record by record, are as follows: 0.00, 0.00 μB/cell.